[1]
This record from Alexandria describes a geometry-optimized CeCo2SiC structure. The functional is GGA-PBE.

Properties
For the total DFT energy (no corrections), the calculation gives -7.48 eV/atom.

a = 3.800 Å, b = 10.661 Å, c = 6.703 Å
α = 90.00°, β = 90.00°, γ = 90.00°
Space group Cmcm (No. 63)
One atom of each set of equivalent atoms:
Ce (0.000, 0.056, 0.250) x4
Co (0.000, 0.336, 0.055) x8
Si (0.000, 0.223, 0.750) x4
C (0.000, 0.500, 0.000) x4

[2]
This record from Alexandria describes a geometry-optimized SrSi2Sn2 structure. The functional is GGA-PBE.

Properties
The energy above the most stable polymorph in this dataset comes out at 15 meV per atom.

a = 5.149 Å, b = 5.149 Å, c = 9.916 Å
α = 90.00°, β = 90.00°, γ = 90.00°
Space group I4/mmm (No. 139)
One atom of each set of equivalent atoms:
Sr (0.000, 0.000, 0.000) x2
Si (0.000, 0.500, 0.250) x4
Sn (0.000, 0.000, 0.352) x4

[3]
This record from Alexandria describes a geometry-optimized AcNd2Zn2Pb2 structure. The functional is GGA-PBE.

Properties
The energy relative to the elements is -0.25 eV/atom.

a = 4.8552 Å, b = 4.8552 Å, c = 30.1083 Å
α = 90.00°, β = 90.00°, γ = 120.00°
Space group R-3m (No. 166, hexagonal axes)
One atom of each set of equivalent atoms:
Ac (0.0000, 0.0000, 0.0000) x3
Nd (0.0000, 0.0000, 0.1338) x6
Zn (0.0000, 0.0000, 0.4290) x6
Pb (0.0000, 0.0000, 0.2645) x6

[4]
This record from Alexandria describes a geometry-optimized Fe3Br structure. The functional is GGA-PBE.

Properties
The energy above the most stable polymorph in this dataset comes out at 1339 meV per atom.

a = 4.449 Å, b = 4.449 Å, c = 4.449 Å
α = 90.00°, β = 90.00°, γ = 90.00°
Space group Pm-3m (No. 221)
One atom of each set of equivalent atoms:
Fe (0.000, 0.000, 0.500) x3
Br (0.000, 0.000, 0.000) x1